Computed, not measured: an optimized crystal structure of Ni2HgO at the PBE+U level of DFT.

## Properties
Excess energy over the best structure of this formula in the dataset (eV/atom): 0.000
Total magnetic moment (μB/atom): 0.501
Calculated density (g/cm3): 8.0

Lattice parameters (Å, degrees): 6.5987 6.5987 6.5987 135.67 135.67 64.49
Element x y z (fractional)
Ni 0.0000 0.0000 0.0000
Ni 0.0000 0.0000 0.5000
Ni 0.0000 0.5000 0.0000
Ni 0.5000 0.0000 0.5000
Hg 0.3750 0.6250 0.7500
Hg 0.6250 0.3750 0.2500
O 0.1250 0.8750 0.2500
O 0.8750 0.1250 0.7500